Entry 1:
The following is a PBE calculation of a geometry-optimized Be3PtF structure, from the Alexandria database.

Geometry as extended XYZ:
```
5
Lattice="4.307 0.000 0.000 0.000 4.307 0.000 0.000 0.000 4.307" Properties=species:S:1:pos:R:3 pbc="T T T"
F 2.154 2.154 2.154
Be 0.000 0.000 2.154
Be 0.000 2.154 0.000
Be 2.154 0.000 0.000
Pt 0.000 0.000 0.000
```

Final energy = -18.9 eV for the cell shown
Distance to the lowest polymorph of the same formula = 2.89 eV per formula unit
Raw formation energy = 0.032 eV per atom
Magnetic moment = 0.0000 μB per atom

---

Entry 2:
The following is a PBE calculation of a geometry-optimized BePtF2 structure, from the Alexandria database.

Geometry as extended XYZ:
```
4
Lattice="9.730 0.042 0.025 9.367 2.630 0.025 9.367 1.311 2.280" Properties=species:S:1:pos:R:3 pbc="T T T"
Pt 0.000 0.000 0.000
Be 14.232 1.992 1.165
F 24.613 3.444 2.014
F 3.852 0.539 0.315
```

Final energy = -21.4 eV for the cell shown
Distance to the lowest polymorph of the same formula = 0.93 eV per formula unit
Raw formation energy = -1.980 eV per atom
Magnetic moment = 0.0524 μB per atom

---

Entry 3:
The following is a PBE calculation of a geometry-optimized BePtF2 structure, from the Alexandria database.

Geometry as extended XYZ:
```
8
Lattice="0.000 3.622 3.622 3.622 0.000 3.622 3.622 3.622 0.000" Properties=species:S:1:pos:R:3 pbc="T T T"
F 0.906 2.717 2.717
Be 1.811 1.811 1.811
F 0.906 0.906 0.906
Pt 5.434 5.434 5.434
Pt 3.622 3.622 3.622
F 2.717 0.906 2.717
Be 0.000 0.000 0.000
F 2.717 2.717 0.906
```

Final energy = -39.1 eV for the cell shown
Distance to the lowest polymorph of the same formula = 2.82 eV per formula unit
Raw formation energy = -1.508 eV per atom
Magnetic moment = 0.1202 μB per atom

---

Entry 4:
The following is a PBE calculation of a geometry-optimized Be2PtF2 structure, from the Alexandria database.

Geometry as extended XYZ:
```
10
Lattice="6.519 0.000 0.000 0.000 6.519 0.000 0.000 0.000 2.577" Properties=species:S:1:pos:R:3 pbc="T T T"
F 2.526 0.733 1.289
Be 0.852 2.407 0.000
Pt 0.000 0.000 0.000
Pt 3.260 3.260 0.000
F 3.993 5.786 1.289
Be 2.407 5.667 0.000
F 0.733 3.993 1.289
F 5.786 2.526 1.289
Be 5.667 4.112 0.000
Be 4.112 0.852 0.000
```

Final energy = -41.1 eV for the cell shown
Distance to the lowest polymorph of the same formula = 3.51 eV per formula unit
Raw formation energy = -0.663 eV per atom
Magnetic moment = 0.0000 μB per atom

---

Entry 5:
The following is a PBE calculation of a geometry-optimized BePtF2 structure, from the Alexandria database.

Geometry as extended XYZ:
```
8
Lattice="3.596 0.005 -0.002 -0.318 6.203 0.048 -0.286 -2.293 5.770" Properties=species:S:1:pos:R:3 pbc="T T T"
F 2.746 -1.644 5.625
F 0.591 1.900 1.711
Pt 2.405 2.980 2.831
Be 0.016 0.509 1.300
Pt 0.603 3.930 4.251
F 2.693 0.090 2.543
Be 1.499 5.001 2.502
F 0.619 5.400 1.273
```

Final energy = -41.5 eV for the cell shown
Distance to the lowest polymorph of the same formula = 1.63 eV per formula unit
Raw formation energy = -1.804 eV per atom
Magnetic moment = 0.0000 μB per atom

---

Entry 6:
The following is a PBE calculation of a geometry-optimized BePtF2 structure, from the Alexandria database.

Geometry as extended XYZ:
```
4
Lattice="-1.897 1.835 3.067 -0.727 3.977 -0.160 -3.785 1.347 -0.478" Properties=species:S:1:pos:R:3 pbc="T T T"
F -4.807 5.370 1.821
Be 0.000 0.000 0.000
Pt -3.205 3.580 1.214
F -1.602 1.790 0.607
```

Final energy = -14.1 eV for the cell shown
Distance to the lowest polymorph of the same formula = 8.26 eV per formula unit
Raw formation energy = -0.148 eV per atom
Magnetic moment = 0.1066 μB per atom

---

Entry 7:
The following is a PBE calculation of a geometry-optimized BePtF3 structure, from the Alexandria database.

Geometry as extended XYZ:
```
5
Lattice="-1.226 -1.963 2.910 2.098 -2.881 -1.060 2.814 1.293 2.058" Properties=species:S:1:pos:R:3 pbc="T T T"
F -0.613 -0.982 1.455
F 1.049 -1.440 -0.530
F 1.407 0.646 1.029
Pt 1.843 -1.776 1.954
Be 0.000 0.000 0.000
```

Final energy = -21.7 eV for the cell shown
Distance to the lowest polymorph of the same formula = 0.00 eV per formula unit
Raw formation energy = -1.267 eV per atom
Magnetic moment = 0.2083 μB per atom

---

Entry 8:
The following is a PBE calculation of a geometry-optimized BePt2F structure, from the Alexandria database.

Geometry as extended XYZ:
```
8
Lattice="-0.535 1.443 3.493 1.983 -2.896 1.500 7.314 3.422 1.793" Properties=species:S:1:pos:R:3 pbc="T T T"
F 3.751 2.069 3.891
Be 0.724 -0.727 2.496
Pt 1.749 1.376 2.773
F 0.000 0.000 0.000
Pt 2.994 -0.755 1.868
Be 5.011 -0.100 2.895
Pt 6.055 1.984 3.237
Pt 6.726 1.333 5.694
```

Final energy = -36.5 eV for the cell shown
Distance to the lowest polymorph of the same formula = 0.48 eV per formula unit
Raw formation energy = -0.139 eV per atom
Magnetic moment = 0.0000 μB per atom

---

Entry 9:
The following is a PBE calculation of a geometry-optimized BePtF2 structure, from the Alexandria database.

Geometry as extended XYZ:
```
8
Lattice="-2.445 -0.498 -0.963 -2.207 -0.522 6.377 0.757 6.678 -1.674" Properties=species:S:1:pos:R:3 pbc="T T T"
Pt -0.555 3.226 0.837
Be -2.914 5.390 1.971
F -2.752 2.398 3.124
Pt -2.007 5.078 -0.154
F -1.856 5.175 3.110
F -3.951 0.245 3.569
Be -1.314 1.875 3.458
F -3.110 0.739 1.181
```

Final energy = -42.3 eV for the cell shown
Distance to the lowest polymorph of the same formula = 1.23 eV per formula unit
Raw formation energy = -1.905 eV per atom
Magnetic moment = 0.0000 μB per atom

---

Entry 10:
The following is a PBE calculation of a geometry-optimized Be3PtF structure, from the Alexandria database.

Geometry as extended XYZ:
```
5
Lattice="-1.229 3.055 -1.617 -2.593 0.320 2.575 2.285 2.005 2.052" Properties=species:S:1:pos:R:3 pbc="T T T"
Be -1.296 0.160 1.288
Be -0.615 1.527 -0.808
Be 1.143 1.003 1.026
Pt -0.768 2.690 1.505
F 0.000 0.000 0.000
```

Final energy = -21.8 eV for the cell shown
Distance to the lowest polymorph of the same formula = 0.00 eV per formula unit
Raw formation energy = -0.546 eV per atom
Magnetic moment = 0.0000 μB per atom

---

Entry 11:
The following is a PBE calculation of a geometry-optimized Be2PtF2 structure, from the Alexandria database.

Geometry as extended XYZ:
```
5
Lattice="3.047 0.000 0.000 0.000 3.047 0.000 1.523 1.523 5.254" Properties=species:S:1:pos:R:3 pbc="T T T"
F 3.047 1.523 2.627
Pt 0.000 0.000 0.000
Be 3.047 3.047 3.701
F 1.523 3.047 2.627
Be 1.523 1.523 1.553
```

Final energy = -24.1 eV for the cell shown
Distance to the lowest polymorph of the same formula = 0.00 eV per formula unit
Raw formation energy = -1.365 eV per atom
Magnetic moment = 0.0000 μB per atom

---

Entry 12:
The following is a PBE calculation of a geometry-optimized BePtF structure, from the Alexandria database.

Geometry as extended XYZ:
```
6
Lattice="-0.637 2.713 0.138 -2.905 -0.456 -3.665 -5.545 -2.802 1.803" Properties=species:S:1:pos:R:3 pbc="T T T"
Be -2.631 0.893 -1.044
Be -6.456 -1.438 -0.681
F -6.729 -1.236 0.883
Pt -3.643 -0.833 0.008
F -2.357 0.692 -2.608
Pt -5.444 0.288 -1.733
```

Final energy = -32.8 eV for the cell shown
Raw formation energy = -1.589 eV per atom
Magnetic moment = 0.0000 μB per atom